# Hf2SiRhC

Crystalline Hf2SiRhC at its relaxed geometry (PBE, Alexandria via LeMat-Bulk).

Lattice parameters (Å, degrees): 4.998 4.998 3.474 90.00 90.00 90.00
Space group P4/mmm (No. 123)
Inequivalent atoms, fractional coordinates:
Hf 0.000 0.500 0.000 x2
Si 0.000 0.000 0.000 x1
Rh 0.500 0.500 0.500 x1
C 0.000 0.000 0.500 x1

Output
- Total energy: -7.737 eV per atom
- DOS(E_F): 0.71 states/eV per atom